Below is an optimized crystal structure of Ca2AgB2O6, with properties calculated at the GGA-PBE level.

```
data_Ca2AgB2O6
_space_group_name_H-M_alt 'P -1'
_space_group_IT_number 2
_space_group_name_Hall '-P 1'
_cell_length_a 5.911
_cell_length_b 5.935
_cell_length_c 6.029
_cell_angle_alpha 62.69
_cell_angle_beta 62.84
_cell_angle_gamma 68.78
loop_
_atom_site_label
_atom_site_fract_x
_atom_site_fract_y
_atom_site_fract_z
Ca1 0.187 0.187 0.199
Ag1 0.500 0.500 0.500
B1 0.188 0.190 0.727
O1 0.074 0.075 0.667
O2 0.085 0.430 0.760
O3 0.431 0.088 0.758
```

## Properties
The formation energy (no corrections) is -2.175 eV/atom. The raw total energy is -6.7170 eV/atom. Its crystal system is triclinic.



Below is an optimized crystal structure of CoNiPd3, with properties calculated at the GGA-PBE level.

```
data_CoNiPd3
_space_group_name_H-M_alt 'P n m a'
_space_group_IT_number 62
_space_group_name_Hall '-P 2ac 2n'
_cell_length_a 7.232
_cell_length_b 9.538
_cell_length_c 4.266
_cell_angle_alpha 90.00
_cell_angle_beta 90.00
_cell_angle_gamma 90.00
loop_
_atom_site_label
_atom_site_fract_x
_atom_site_fract_y
_atom_site_fract_z
Co1 0.000 0.000 0.000
Ni1 0.167 0.250 0.462
Pd1 0.003 0.250 0.961
Pd2 0.164 0.589 0.509
```

## Properties
The value obtained for the energy above the most stable polymorph in this dataset is 260 meV per atom. The raw total energy is -5.4095 eV/atom. Its crystal system is orthorhombic.



Below is an optimized crystal structure of SbPPb2, with properties calculated at the GGA-PBE level.

```
data_SbPPb2
_space_group_name_H-M_alt 'C 1 m 1'
_space_group_IT_number 8
_space_group_name_Hall 'C -2y'
_cell_length_a 11.774
_cell_length_b 3.712
_cell_length_c 5.469
_cell_angle_alpha 90.00
_cell_angle_beta 115.38
_cell_angle_gamma 90.00
loop_
_atom_site_label
_atom_site_fract_x
_atom_site_fract_y
_atom_site_fract_z
Sb1 0.000 0.000 0.000
P1 0.184 0.500 0.158
Pb1 0.201 0.000 0.706
Pb2 0.411 0.000 0.408
```

## Properties
The formation energy (no corrections) is 0.140 eV/atom. The value obtained for the energy above the most stable polymorph in this dataset is 23 meV per atom. The raw total energy is -4.0976 eV/atom. Its crystal system is monoclinic.



Below is an optimized crystal structure of K3Ce2ScTe6, with properties calculated at the GGA-PBE level.

```
data_K3Ce2ScTe6
_space_group_name_H-M_alt 'C 1 2/m 1'
_space_group_IT_number 12
_space_group_name_Hall '-C 2y'
_cell_length_a 7.862
_cell_length_b 13.624
_cell_length_c 8.634
_cell_angle_alpha 90.00
_cell_angle_beta 107.75
_cell_angle_gamma 90.00
loop_
_atom_site_label
_atom_site_fract_x
_atom_site_fract_y
_atom_site_fract_z
K1 0.000 0.000 0.000
K2 0.000 0.329 0.000
Ce1 0.000 0.166 0.500
Sc1 0.000 0.500 0.500
Te1 0.227 0.342 0.708
Te2 0.245 0.500 0.291
```

## Properties
The formation energy (no corrections) is -1.300 eV/atom. The raw total energy is -4.6622 eV/atom. Its crystal system is monoclinic.



Below is an optimized crystal structure of ReAsSe2, with properties calculated at the GGA-PBE level.

```
data_ReAsSe2
_space_group_name_H-M_alt 'I -4 m 2'
_space_group_IT_number 119
_space_group_name_Hall 'I -4 -2'
_cell_length_a 4.279
_cell_length_b 4.279
_cell_length_c 7.454
_cell_angle_alpha 90.00
_cell_angle_beta 90.00
_cell_angle_gamma 90.00
loop_
_atom_site_label
_atom_site_fract_x
_atom_site_fract_y
_atom_site_fract_z
Re1 0.000 0.000 0.000
As1 0.000 0.500 0.250
Se1 0.000 0.000 0.500
Se2 0.000 0.500 0.750
```

## Properties
The formation energy (no corrections) is 0.746 eV/atom. The raw total energy is -5.2703 eV/atom. Its crystal system is tetragonal.



Below is an optimized crystal structure of HoGaCl, with properties calculated at the GGA-PBE level.

```
data_HoGaCl
_space_group_name_H-M_alt 'C 1 2/m 1'
_space_group_IT_number 12
_space_group_name_Hall '-C 2y'
_cell_length_a 22.569
_cell_length_b 3.880
_cell_length_c 7.493
_cell_angle_alpha 90.00
_cell_angle_beta 94.12
_cell_angle_gamma 90.00
loop_
_atom_site_label
_atom_site_fract_x
_atom_site_fract_y
_atom_site_fract_z
Ho1 0.145 0.000 0.107
Ho2 0.147 0.000 0.594
Ga1 0.244 0.500 0.118
Ga2 0.245 0.500 0.631
Cl1 0.065 0.000 0.829
Cl2 0.095 0.500 0.340
```

## Properties
The formation energy (no corrections) is -1.063 eV/atom. The raw total energy is -4.2134 eV/atom. Its crystal system is monoclinic.



Below is an optimized crystal structure of HfAl2OsPd, with properties calculated at the GGA-PBE level.

```
data_HfAl2OsPd
_space_group_name_H-M_alt 'P 4/m m m'
_space_group_IT_number 123
_space_group_name_Hall '-P 4 2'
_cell_length_a 4.419
_cell_length_b 4.419
_cell_length_c 5.064
_cell_angle_alpha 90.00
_cell_angle_beta 90.00
_cell_angle_gamma 90.00
loop_
_atom_site_label
_atom_site_fract_x
_atom_site_fract_y
_atom_site_fract_z
Hf1 0.000 0.000 0.000
Al1 0.000 0.500 0.500
Os1 0.500 0.500 0.000
Pd1 0.500 0.500 0.500
```

## Properties
The raw total energy is -6.1697 eV/atom. Its crystal system is tetragonal.



Below is an optimized crystal structure of ThCrB12, with properties calculated at the GGA-PBE level.

```
data_ThCrB12
_space_group_name_H-M_alt 'P 4/m m m'
_space_group_IT_number 123
_space_group_name_Hall '-P 4 2'
_cell_length_a 4.118
_cell_length_b 4.118
_cell_length_c 8.239
_cell_angle_alpha 90.00
_cell_angle_beta 90.00
_cell_angle_gamma 90.00
loop_
_atom_site_label
_atom_site_fract_x
_atom_site_fract_y
_atom_site_fract_z
Th1 0.000 0.000 0.000
Cr1 0.000 0.000 0.500
B1 0.200 0.500 0.250
B2 0.500 0.500 0.099
B3 0.500 0.500 0.400
```

## Properties
The raw total energy is -7.0372 eV/atom. Its crystal system is tetragonal.



Q: Look up the raw total energy of the fourth one.
A: -4.6622 eV/atom



Q: Which of these has the highest raw total energy?
A: SbPPb2



Copy entry 6 word for word.
Below is an optimized crystal structure of HoGaCl, with properties calculated at the GGA-PBE level.

```
data_HoGaCl
_space_group_name_H-M_alt 'C 1 2/m 1'
_space_group_IT_number 12
_space_group_name_Hall '-C 2y'
_cell_length_a 22.569
_cell_length_b 3.880
_cell_length_c 7.493
_cell_angle_alpha 90.00
_cell_angle_beta 94.12
_cell_angle_gamma 90.00
loop_
_atom_site_label
_atom_site_fract_x
_atom_site_fract_y
_atom_site_fract_z
Ho1 0.145 0.000 0.107
Ho2 0.147 0.000 0.594
Ga1 0.244 0.500 0.118
Ga2 0.245 0.500 0.631
Cl1 0.065 0.000 0.829
Cl2 0.095 0.500 0.340
```

## Properties
The formation energy (no corrections) is -1.063 eV/atom. The raw total energy is -4.2134 eV/atom. Its crystal system is monoclinic.